{
  "formula": "YAg2AsS4",
  "functional": "PBE-GGA",
  "state": "relaxed",
  "lattice_angstrom": [[-0.5687, -3.7937, 0.6740], [1.5809, -1.3700, -6.3770], [6.6325, -1.1208, -0.7117]],
  "species": ["Ag", "S", "Ag", "S", "S", "As", "S", "Y"],
  "fractional_positions": [[0.0000, 0.0000, 0.0000], [0.5000, 0.7334, 0.2349], [0.5000, 0.0000, 0.5000], [0.0000, 0.2642, 0.2406], [0.0000, 0.7358, 0.7594], [0.5000, 0.5000, 0.0000], [0.5000, 0.2666, 0.7651], [0.0000, 0.5000, 0.5000]],
  "n_ef_per_ev_cell": 0.02,
  "magmom_total_mub_per_cell": 0.00,
  "raw_formation_energy_ev_per_atom": -0.635,
  "final_energy_ev_per_fu": -38.41
}

---

{
  "formula": "MnMoIr2",
  "functional": "PBE-GGA",
  "state": "relaxed",
  "lattice_angstrom": [[2.7939, 0.0051, 0.0000], [-0.0051, 2.7939, 0.0000], [0.0000, 0.0000, 7.4693]],
  "species": ["Ir", "Ir", "Mo", "Mn"],
  "fractional_positions": [[0.0000, 0.0000, 0.0046], [0.0000, 0.0000, 0.4954], [0.5000, 0.5000, 0.7500], [0.5000, 0.5000, 0.2500]],
  "n_ef_per_ev_cell": 5.08,
  "e_above_lowest_polymorph_ev_per_atom": 0.057,
  "e_form_kcal_per_mol_atoms": -4.5,
  "magmom_total_mub_per_cell": 3.56,
  "final_energy_ev_per_fu": -38.51
}

---

{
  "formula": "Ca2BAsPt6",
  "functional": "PBE-GGA",
  "state": "relaxed",
  "lattice_angstrom": [[-2.1928, -3.5862, -3.9368], [2.0910, -5.7276, 4.0528], [-7.5620, 0.1336, 4.0903]],
  "species": ["Pt", "As", "Pt", "Ca", "Pt", "Pt", "Ca", "Pt", "Pt", "B", "Ca", "Pt", "Pt", "As", "Ca", "Pt", "B", "Pt", "Pt", "Pt"],
  "fractional_positions": [[0.7543, 0.4150, 0.5000], [0.0000, 0.6893, 0.5000], [0.7457, 0.5850, 0.0000], [0.5000, 0.7181, 0.2855], [0.5000, 0.1508, 0.7490], [0.0000, 0.8492, 0.2490], [0.0000, 0.2819, 0.2145], [0.5000, 0.1508, 0.2510], [0.2543, 0.5850, 0.0000], [0.0000, 0.7915, 0.0000], [0.0000, 0.2819, 0.7855], [0.2457, 0.4150, 0.5000], [0.7618, 0.0089, 0.5000], [0.5000, 0.3107, 0.0000], [0.5000, 0.7181, 0.7145], [0.0000, 0.8492, 0.7510], [0.5000, 0.2085, 0.5000], [0.7382, 0.9911, 0.0000], [0.2382, 0.0089, 0.5000], [0.2618, 0.9911, 0.0000]],
  "n_ef_per_ev_cell": 9.28,
  "e_form_kcal_per_mol_atoms": -16.4,
  "magmom_total_mub_per_cell": 0.00,
  "final_energy_ev_per_fu": -58.70
}

---

{
  "formula": "Th2PdRu",
  "functional": "PBE-GGA",
  "state": "relaxed",
  "lattice_angstrom": [[3.6318, -0.1066, 0.4148], [-0.1189, 3.4741, -0.2749], [-0.9661, -2.1895, 7.4566]],
  "species": ["Ru", "Th", "Th", "Pd"],
  "fractional_positions": [[0.2838, 0.4439, 0.7284], [0.7749, 0.2185, 0.9668], [0.7928, 0.6688, 0.4896], [0.2838, 0.9434, 0.2280]],
  "n_ef_per_ev_cell": 4.43,
  "e_form_kcal_per_mol_atoms": -11.7,
  "magmom_total_mub_per_cell": 0.00,
  "final_energy_ev_per_fu": -31.34
}

---

{
  "formula": "ScAlVTc",
  "functional": "PBE-GGA",
  "state": "relaxed",
  "lattice_angstrom": [[4.4690, 0.0000, 0.0000], [2.2345, 3.8703, 0.0000], [2.2345, 1.2901, 3.6489]],
  "species": ["Sc", "Tc", "V", "Al"],
  "fractional_positions": [[0.0000, 0.0000, 0.0000], [0.2500, 0.2500, 0.2500], [0.5000, 0.5000, 0.5000], [0.7500, 0.7500, 0.7500]],
  "n_ef_per_ev_cell": 1.70,
  "e_form_kcal_per_mol_atoms": -6.0,
  "magmom_total_mub_per_cell": 0.00,
  "final_energy_ev_per_fu": -30.60
}

---

{
  "formula": "AcGa12Pd6",
  "functional": "PBE-GGA",
  "state": "relaxed",
  "lattice_angstrom": [[7.2337, 0.0385, 0.0542], [-1.7558, 7.0174, 0.0542], [-1.7558, -2.2617, 6.6432]],
  "species": ["Ga", "Pd", "Pd", "Pd", "Pd", "Ga", "Pd", "Ga", "Ga", "Ac", "Ga", "Ga", "Ga", "Ga", "Ga", "Ga", "Ga", "Ga", "Pd"],
  "fractional_positions": [[0.8895, 0.5000, 0.1105], [0.7127, 0.2824, 0.7127], [0.7176, 0.2873, 0.2873], [0.2873, 0.2873, 0.7176], [0.7127, 0.7127, 0.2824], [0.8516, 0.5978, 0.5978], [0.2824, 0.7127, 0.7127], [0.4022, 0.1484, 0.4022], [0.1105, 0.8895, 0.5000], [0.0000, 0.0000, 0.0000], [0.4022, 0.4022, 0.1484], [0.5000, 0.8895, 0.1105], [0.1105, 0.5000, 0.8895], [0.5978, 0.8516, 0.5978], [0.8895, 0.1105, 0.5000], [0.5978, 0.5978, 0.8516], [0.5000, 0.1105, 0.8895], [0.1484, 0.4022, 0.4022], [0.2873, 0.7176, 0.2873]],
  "n_ef_per_ev_cell": 6.84,
  "e_form_kcal_per_mol_atoms": -12.0,
  "magmom_total_mub_per_cell": 0.00,
  "final_energy_ev_per_fu": -81.44
}

---

{
  "formula": "CaBeZnAu3",
  "functional": "PBE-GGA",
  "state": "relaxed",
  "lattice_angstrom": [[-4.9680, 2.9973, 0.9930], [-3.4683, -5.0671, -2.0571], [1.5479, 0.2888, 6.8721]],
  "species": ["Zn", "Au", "Be", "Ca", "Au", "Au", "Au", "Zn", "Au", "Ca", "Au", "Be"],
  "fractional_positions": [[0.2500, 0.3680, 0.7359], [0.5000, 0.7265, 0.0000], [0.7500, 0.0205, 0.0411], [0.7500, 0.2777, 0.5554], [0.0000, 0.7265, 0.0000], [0.5000, 0.2735, 0.0000], [0.0000, 0.2735, 0.0000], [0.7500, 0.6320, 0.2641], [0.7500, 0.8316, 0.6632], [0.2500, 0.7223, 0.4446], [0.2500, 0.1684, 0.3368], [0.2500, 0.9795, 0.9589]],
  "n_ef_per_ev_cell": 4.62,
  "e_form_kcal_per_mol_atoms": -7.4,
  "magmom_total_mub_per_cell": 0.00,
  "final_energy_ev_per_fu": -18.76
}

---

{
  "formula": "K3BiF8",
  "functional": "PBE-GGA",
  "state": "relaxed",
  "lattice_angstrom": [[5.9850, 0.0000, 0.0000], [0.0000, 5.9850, 0.0000], [-2.9925, -2.9925, 5.8731]],
  "species": ["F", "F", "F", "Bi", "F", "K", "F", "F", "K", "F", "F", "K"],
  "fractional_positions": [[0.8971, 0.8971, 0.2146], [0.3175, 0.8971, 0.2146], [0.3175, 0.3175, 0.2146], [0.0000, 0.0000, 0.0000], [0.1029, 0.1029, 0.7854], [0.7500, 0.2500, 0.5000], [0.6825, 0.1029, 0.7854], [0.1029, 0.6825, 0.7854], [0.2500, 0.7500, 0.5000], [0.8971, 0.3175, 0.2146], [0.6825, 0.6825, 0.7854], [0.5000, 0.5000, 0.0000]],
  "magmom_total_mub_per_cell": 0.00,
  "raw_formation_energy_ev_per_atom": -2.406,
  "final_energy_ev_per_fu": -51.02
}

---

Number 1: ρ 5.12 g/cm3. Number 2: ρ 15.25 g/cm3. Number 3: ρ 12.24 g/cm3. Number 4: ρ 11.96 g/cm3. Number 5: ρ 5.81 g/cm3. Number 6: ρ 8.33 g/cm3. Number 7: ρ 9.81 g/cm3. Number 8: ρ 3.78 g/cm3.